(w)
A plane-wave DFT calculation with GGA-PBE was carried out for a relaxed structure of TePb2Cl.

Structure (extended XYZ):
```
4
Lattice="3.339 0.000 0.000 0.000 4.676 0.000 -0.685 0.000 8.284" Properties=species:S:1:pos:R:3 pbc="T T T"
Te 0.000 0.000 0.000
Pb -0.072 2.338 2.212
Pb 2.726 2.338 6.072
Cl -0.343 0.000 4.142
```

Summary:
SG	No. 10
total magnetic moment	0.00	μB per formula unit
volume	32.34	Å³ per atom



(x)
A plane-wave DFT calculation with GGA-PBE was carried out for a relaxed structure of TePb2Cl.

Structure (extended XYZ):
```
4
Lattice="6.446 -2.366 0.000 6.446 2.366 0.000 -0.055 0.000 4.279" Properties=species:S:1:pos:R:3 pbc="T T T"
Te 0.000 0.000 0.000
Pb 6.862 0.000 2.152
Pb 9.818 0.000 0.142
Cl 3.632 0.000 1.937
```

Summary:
SG	No. 8
total magnetic moment	0.00	μB per formula unit
volume	32.62	Å³ per atom



Stability comparison, relative energies in eV/atom: (w) 0.027; (x) 0.000



(w)
A plane-wave DFT calculation with GGA-PBE was carried out for a relaxed structure of TePb2Cl.

Structure (extended XYZ):
```
4
Lattice="4.376 0.000 0.000 0.000 6.414 0.000 0.000 0.000 4.779" Properties=species:S:1:pos:R:3 pbc="T T T"
Te 0.000 0.000 0.000
Pb 0.000 3.207 0.068
Pb 2.188 0.000 2.405
Cl 2.188 3.207 2.475
```

Summary:
SG	No. 25
total magnetic moment	0.00	μB per formula unit
volume	33.53	Å³ per atom



(x)
A plane-wave DFT calculation with GGA-PBE was carried out for a relaxed structure of TePb2Cl.

Structure (extended XYZ):
```
4
Lattice="0.000 3.871 3.871 3.871 0.000 3.871 3.871 3.871 0.000" Properties=species:S:1:pos:R:3 pbc="T T T"
Te 0.000 0.000 0.000
Pb 1.935 1.935 1.935
Pb 5.806 5.806 5.806
Cl 3.871 3.871 3.871
```

Summary:
SG	No. 225
total magnetic moment	0.00	μB per formula unit
volume	28.99	Å³ per atom



Stability comparison, relative energies in eV/atom: (w) 0.016; (x) 0.000



(w)
A plane-wave DFT calculation with GGA-PBE was carried out for a relaxed structure of TePb2Cl.

Structure (extended XYZ):
```
4
Lattice="2.089 1.206 8.630 -2.089 1.206 8.630 0.000 -2.412 8.630" Properties=species:S:1:pos:R:3 pbc="T T T"
Te 0.000 0.000 0.000
Pb 0.000 0.000 6.491
Pb 0.000 0.000 19.398
Cl 0.000 0.000 12.945
```

Summary:
SG	No. 166
total magnetic moment	0.00	μB per formula unit
volume	32.60	Å³ per atom



(x)
A plane-wave DFT calculation with GGA-PBE was carried out for a relaxed structure of TePb2Cl.

Structure (extended XYZ):
```
8
Lattice="-4.194 4.194 3.745 4.194 -4.194 3.745 4.194 4.194 -3.745" Properties=species:S:1:pos:R:3 pbc="T T T"
Te 0.000 0.000 0.000
Te 0.000 4.194 1.872
Pb 2.097 2.134 -0.936
Pb 6.254 2.097 0.936
Pb 2.097 2.060 2.809
Pb -2.060 2.097 4.681
Cl 4.194 0.000 1.872
Cl 0.000 0.000 3.745
```

Summary:
SG	No. 122
total magnetic moment	0.00	μB per formula unit
volume	32.93	Å³ per atom



(y)
A plane-wave DFT calculation with GGA-PBE was carried out for a relaxed structure of TePb2Cl.

Structure (extended XYZ):
```
4
Lattice="0.000 3.868 3.868 3.868 0.000 3.868 3.868 3.868 0.000" Properties=species:S:1:pos:R:3 pbc="T T T"
Te 0.000 0.000 0.000
Pb 3.868 3.868 3.868
Pb 5.802 5.802 5.802
Cl 1.934 1.934 1.934
```

Summary:
SG	No. 216
total magnetic moment	0.00	μB per formula unit
volume	28.94	Å³ per atom



(z)
A plane-wave DFT calculation with GGA-PBE was carried out for a relaxed structure of TePb2Cl.

Structure (extended XYZ):
```
4
Lattice="2.766 -2.775 0.000 2.766 2.775 0.000 0.000 0.000 7.711" Properties=species:S:1:pos:R:3 pbc="T T T"
Te 0.000 0.000 0.000
Pb 2.766 0.000 1.828
Pb 2.766 0.000 5.883
Cl 0.000 0.000 3.856
```

Summary:
SG	No. 65
total magnetic moment	0.00	μB per formula unit
volume	29.59	Å³ per atom



Stability comparison, relative energies in eV/atom: (w) 0.000; (x) 0.056; (y) 0.324; (z) 0.030



(w)
A plane-wave DFT calculation with GGA-PBE was carried out for a relaxed structure of Te3PbCl.

Structure (extended XYZ):
```
5
Lattice="5.457 0.000 0.000 0.000 5.457 0.000 0.000 0.000 5.457" Properties=species:S:1:pos:R:3 pbc="T T T"
Te 0.000 0.000 2.729
Te 0.000 2.729 0.000
Te 2.729 0.000 0.000
Pb 2.729 2.729 2.729
Cl 0.000 0.000 0.000
```

Summary:
SG	No. 221
total magnetic moment	0.00	μB per formula unit
volume	32.51	Å³ per atom



(x)
A plane-wave DFT calculation with GGA-PBE was carried out for a relaxed structure of Te3PbCl.

Structure (extended XYZ):
```
5
Lattice="5.875 0.000 0.000 0.000 5.875 0.000 0.000 0.000 5.875" Properties=species:S:1:pos:R:3 pbc="T T T"
Te 0.000 0.000 2.938
Te 0.000 2.938 0.000
Te 2.938 0.000 0.000
Pb 0.000 0.000 0.000
Cl 2.938 2.938 2.938
```

Summary:
SG	No. 221
total magnetic moment	0.00	μB per formula unit
volume	40.56	Å³ per atom



Stability comparison, relative energies in eV/atom: (w) 0.000; (x) 0.240



(w)
A plane-wave DFT calculation with GGA-PBE was carried out for a relaxed structure of Te2Pb2Cl.

Structure (extended XYZ):
```
10
Lattice="8.623 0.000 0.000 0.000 8.623 0.000 0.000 0.000 4.305" Properties=species:S:1:pos:R:3 pbc="T T T"
Te 1.116 3.196 0.000
Te 3.196 7.507 0.000
Te 5.427 1.116 0.000
Te 7.507 5.427 0.000
Pb 1.616 5.928 2.153
Pb 2.695 1.616 2.153
Pb 5.928 7.006 2.153
Pb 7.006 2.695 2.153
Cl 0.000 0.000 2.153
Cl 4.311 4.311 2.153
```

Summary:
SG	No. 127
total magnetic moment	0.00	μB per formula unit
volume	32.01	Å³ per atom



(x)
A plane-wave DFT calculation with GGA-PBE was carried out for a relaxed structure of Te2Pb2Cl.

Structure (extended XYZ):
```
5
Lattice="-2.863 2.863 5.757 2.863 -2.863 5.757 2.863 2.863 -5.757" Properties=species:S:1:pos:R:3 pbc="T T T"
Te 0.000 0.000 1.530
Te 0.000 0.000 9.983
Pb 2.863 0.000 2.878
Pb 0.000 2.863 2.878
Cl 0.000 0.000 5.757
```

Summary:
SG	No. 139
total magnetic moment	0.00	μB per formula unit
volume	37.74	Å³ per atom



Stability comparison, relative energies in eV/atom: (w) 0.000; (x) 0.144



(w)
A plane-wave DFT calculation with GGA-PBE was carried out for a relaxed structure of TePbCl3.

Structure (extended XYZ):
```
5
Lattice="5.641 0.000 0.000 0.000 5.641 0.000 0.000 0.000 5.641" Properties=species:S:1:pos:R:3 pbc="T T T"
Te 0.000 0.000 0.000
Pb 2.820 2.820 2.820
Cl 0.000 2.820 2.820
Cl 2.820 0.000 2.820
Cl 2.820 2.820 0.000
```

Summary:
SG	No. 221
total magnetic moment	2.91	μB per formula unit
volume	35.90	Å³ per atom



(x)
A plane-wave DFT calculation with GGA-PBE was carried out for a relaxed structure of TePbCl3.

Structure (extended XYZ):
```
5
Lattice="5.494 0.000 0.000 0.000 5.494 0.000 0.000 0.000 5.494" Properties=species:S:1:pos:R:3 pbc="T T T"
Te 0.000 0.000 0.000
Pb 2.747 2.747 2.747
Cl 0.000 0.000 2.747
Cl 0.000 2.747 0.000
Cl 2.747 0.000 0.000
```

Summary:
SG	No. 221
total magnetic moment	0.00	μB per formula unit
volume	33.17	Å³ per atom



Stability comparison, relative energies in eV/atom: (w) 0.000; (x) 0.240